Below is Na3Li2Hg2 after structural relaxation, with properties calculated at the PBE level.

Cell and atoms, written as extended XYZ:
```
7
Lattice="2.004 -13.029 0.000 2.004 13.029 0.000 0.000 0.000 3.410" Properties=species:S:1:pos:R:3 pbc="T T T"
Na 0.000 0.000 0.000
Na 2.004 2.656 1.705
Na 2.004 -2.656 1.705
Li 2.004 5.647 1.705
Li 2.004 -5.647 1.705
Hg 2.004 8.276 0.000
Hg 2.004 -8.276 0.000
```

Offset from the most stable computed form in eV per atom: 0.000
DFT total energy in eV for the cell shown: -9.6
Space group: Cmmm
Total magnetic moment in μB/atom: 0.00
N(E_F) in states/eV/f.u.: 2.40
ΔE_f in eV/atom: -0.17